Record 1
Here is a relaxed CaTmCuRu crystal from Alexandria via LeMat-Bulk. Energies are from PBE-GGA.

## Properties
SG = F-43m, No. 216
ΔE_f = -0.104 eV/atom
Energy = -5.07 eV/atom
Fermi-level density of states = 0.42 states/eV/atom

Unit cell a=4.833 b=4.833 c=4.833 alpha=60.00 beta=60.00 gamma=60.00
Fractional coordinates of all 4 atoms:
Ru 0.250 0.250 0.250
Tm 0.000 0.000 0.000
Ca 0.500 0.500 0.500
Cu 0.750 0.750 0.750

=====

Record 2
Here is a relaxed CaZn2CuRu crystal from Alexandria via LeMat-Bulk. Energies are from PBE-GGA.

## Properties
SG = P4/mmm, No. 123
ΔE_f = 1.648 eV/atom
Energy = -1.94 eV/atom
Fermi-level density of states = 0.56 states/eV/atom

Unit cell a=5.146 b=4.808 c=5.146 alpha=90.00 beta=90.00 gamma=90.00
Fractional coordinates of all 5 atoms:
Zn 0.500 0.000 0.000
Zn 0.000 0.000 0.500
Ru 0.500 0.500 0.500
Cu 0.000 0.500 0.000
Ca 0.000 0.000 0.000

=====

Record 3
Here is a relaxed CaCu2S2 crystal from Alexandria via LeMat-Bulk. Energies are from PBE-GGA.

## Properties
SG = I4_1/amd, No. 141
E_form (uncorrected) = -0.905 eV/atom
Energy = -4.59 eV/atom
Fermi-level density of states = 0.00 states/eV/atom

Unit cell a=5.823 b=5.823 c=7.203 alpha=113.84 beta=113.84 gamma=90.00
Fractional coordinates of all 10 atoms:
Ca 0.250 0.750 0.500
Ca 0.000 0.000 0.000
S 0.490 0.990 0.980
S 0.760 0.760 0.520
S 0.010 0.510 0.020
S 0.240 0.240 0.480
Cu 0.125 0.375 0.750
Cu 0.625 0.375 0.750
Cu 0.625 0.375 0.250
Cu 0.625 0.875 0.250

=====

Record 4
Here is a relaxed CaCuS crystal from Alexandria via LeMat-Bulk. Energies are from PBE-GGA.

## Properties
SG = Pnma, No. 62
E_form (uncorrected) = -1.068 eV/atom
Energy = -4.48 eV/atom
Fermi-level density of states = 0.17 states/eV/atom

Unit cell a=3.850 b=8.875 c=6.950 alpha=90.00 beta=90.00 gamma=90.00
Fractional coordinates of all 12 atoms:
S 0.750 0.828 0.371
S 0.250 0.328 0.129
S 0.750 0.672 0.871
S 0.250 0.172 0.629
Ca 0.750 0.350 0.829
Ca 0.750 0.150 0.329
Ca 0.250 0.650 0.171
Ca 0.250 0.850 0.671
Cu 0.250 0.091 0.968
Cu 0.750 0.909 0.032
Cu 0.250 0.409 0.468
Cu 0.750 0.591 0.532

=====

Record 5
Here is a relaxed CaCu2S2 crystal from Alexandria via LeMat-Bulk. Energies are from PBE-GGA.

## Properties
SG = Fddd, No. 70
E_form (uncorrected) = -0.839 eV/atom
Energy = -4.53 eV/atom

Unit cell a=6.326 b=6.326 c=6.115 alpha=114.79 beta=114.79 gamma=100.97
Fractional coordinates of all 10 atoms:
Ca 0.125 0.875 0.250
Ca 0.875 0.125 0.750
Cu 0.510 0.760 0.021
Cu 0.490 0.240 0.979
Cu 0.760 0.510 0.521
Cu 0.240 0.490 0.479
S 0.409 0.591 0.250
S 0.160 0.840 0.750
S 0.840 0.160 0.250
S 0.591 0.409 0.750

=====

Record 6
Here is a relaxed CaCu3S3 crystal from Alexandria via LeMat-Bulk. Energies are from PBE-GGA.

## Properties
SG = R-3, No. 148
E_form (uncorrected) = -0.721 eV/atom
Energy = -4.53 eV/atom
Fermi-level density of states = 0.74 states/eV/atom

Unit cell a=6.653 b=6.653 c=7.678 alpha=64.33 beta=64.33 gamma=60.00
Fractional coordinates of all 14 atoms:
Ca 0.334 0.334 0.999
Ca 0.666 0.666 0.001
S 0.912 0.245 0.266
S 0.088 0.755 0.734
S 0.577 0.912 0.266
S 0.755 0.423 0.734
S 0.423 0.088 0.734
S 0.245 0.577 0.266
Cu 0.123 0.456 0.632
Cu 0.877 0.544 0.368
Cu 0.210 0.877 0.368
Cu 0.456 0.790 0.632
Cu 0.544 0.210 0.368
Cu 0.790 0.123 0.632

=====

Record 7
Here is a relaxed CaCuS2 crystal from Alexandria via LeMat-Bulk. Energies are from PBE-GGA.

## Properties
SG = P4/mmm, No. 123
E_form (uncorrected) = -0.981 eV/atom
Energy = -4.57 eV/atom
Fermi-level density of states = 0.72 states/eV/atom

Unit cell a=4.622 b=4.622 c=3.781 alpha=90.00 beta=90.00 gamma=90.00
Fractional coordinates of all 4 atoms:
S 0.500 0.000 0.000
S 0.000 0.500 0.000
Ca 0.500 0.500 0.500
Cu 0.000 0.000 0.000

=====

Record 8
Here is a relaxed CaCuS2 crystal from Alexandria via LeMat-Bulk. Energies are from PBE-GGA.

## Properties
SG = Fm-3m, No. 225
E_form (uncorrected) = -0.615 eV/atom
Energy = -4.20 eV/atom
Fermi-level density of states = 1.05 states/eV/atom

Unit cell a=4.671 b=4.671 c=4.671 alpha=60.00 beta=60.00 gamma=60.00
Fractional coordinates of all 4 atoms:
S 0.750 0.750 0.750
S 0.250 0.250 0.250
Cu 0.500 0.500 0.500
Ca 0.000 0.000 0.000

=====

Record 9
Here is a relaxed CaCuS2 crystal from Alexandria via LeMat-Bulk. Energies are from PBE-GGA.

## Properties
SG = R-3m, No. 166
E_form (uncorrected) = -0.841 eV/atom
Energy = -4.43 eV/atom
Fermi-level density of states = 1.47 states/eV/atom

Unit cell a=7.529 b=7.529 c=7.529 alpha=32.48 beta=32.48 gamma=32.48
Fractional coordinates of all 4 atoms:
S 0.902 0.902 0.902
S 0.098 0.098 0.098
Cu 0.000 0.000 0.000
Ca 0.500 0.500 0.500

=====

Record 10
Here is a relaxed CaCuS2 crystal from Alexandria via LeMat-Bulk. Energies are from PBE-GGA.

## Properties
SG = I-42d, No. 122
E_form (uncorrected) = -1.012 eV/atom
Energy = -4.60 eV/atom
Fermi-level density of states = 0.08 states/eV/atom

Unit cell a=6.714 b=6.714 c=5.900 alpha=55.32 beta=55.32 gamma=90.00
Fractional coordinates of all 8 atoms:
Cu 0.000 0.000 0.000
Cu 0.750 0.250 0.500
Ca 0.250 0.750 0.500
Ca 0.500 0.500 0.000
S 0.375 0.309 0.750
S 0.875 0.941 0.750
S 0.691 0.125 0.250
S 0.059 0.625 0.250

=====

Record 11
Here is a relaxed Ca2CuS crystal from Alexandria via LeMat-Bulk. Energies are from PBE-GGA.

## Properties
SG = I-42d, No. 122
E_form (uncorrected) = -0.710 eV/atom
Energy = -3.77 eV/atom
Fermi-level density of states = 0.66 states/eV/atom

Unit cell a=7.455 b=7.455 c=6.591 alpha=55.56 beta=55.56 gamma=90.00
Fractional coordinates of all 8 atoms:
Ca 0.875 0.852 0.750
Ca 0.602 0.125 0.250
Ca 0.148 0.625 0.250
Ca 0.375 0.398 0.750
Cu 0.000 0.000 0.000
Cu 0.750 0.250 0.500
S 0.250 0.750 0.500
S 0.500 0.500 0.000

=====

Record 12
Here is a relaxed CaScCu2S4 crystal from Alexandria via LeMat-Bulk. Energies are from PBE-GGA.

## Properties
SG = I-42m, No. 121
E_form (uncorrected) = -1.065 eV/atom
Energy = -5.19 eV/atom
Fermi-level density of states = 0.33 states/eV/atom

Unit cell a=6.489 b=5.934 c=5.934 alpha=66.22 beta=56.85 gamma=56.85
Fractional coordinates of all 8 atoms:
S 0.981 0.587 0.019
S 0.587 0.413 0.981
S 0.019 0.981 0.413
S 0.413 0.019 0.587
Cu 0.250 0.250 0.250
Cu 0.750 0.750 0.750
Sc 0.000 0.000 0.000
Ca 0.500 0.500 0.500

=====

Q: Look up the energy of the fifth one.
A: -4.53 eV/atom

=====

Q: Look up the energy of the eleventh one.
A: -3.77 eV/atom